(1)
# YbAl10Os2 PBE optimized geometry
# crystal system = orthorhombic
data_YbAl10Os2
_chemical_formula_sum 'Yb4 Al40 Os8'
_cell_length_a 9.137
_cell_length_b 10.252
_cell_length_c 9.147
_cell_angle_alpha 90.00
_cell_angle_beta 90.00
_cell_angle_gamma 90.00
_symmetry_space_group_name_H-M 'C m c m'
_symmetry_Int_Tables_number 63
_symmetry_space_group_name_Hall '-C 2c 2'
loop_
_atom_site_label
_atom_site_fract_x
_atom_site_fract_y
_atom_site_fract_z
Yb1 0.000 0.125 0.250
Al1 0.000 0.155 0.600
Al2 0.000 0.376 0.045
Al3 0.153 0.370 0.750
Al4 0.220 0.365 0.250
Al5 0.223 0.000 0.000
Os1 0.250 0.250 0.000


(2)
# AlZnOs PBE optimized geometry
# crystal system = orthorhombic
data_AlZnOs
_chemical_formula_sum 'Al2 Zn2 Os2'
_cell_length_a 2.729
_cell_length_b 3.828
_cell_length_c 8.202
_cell_angle_alpha 90.00
_cell_angle_beta 90.00
_cell_angle_gamma 90.00
_symmetry_space_group_name_H-M 'I m m 2'
_symmetry_Int_Tables_number 44
loop_
_symmetry_equiv_pos_as_xyz
'x,y,z'
'-x,-y,z'
'-x,y,z'
'x,-y,z'
'x+1/2,y+1/2,z+1/2'
'-x+1/2,-y+1/2,z+1/2'
'-x+1/2,y+1/2,z+1/2'
'x+1/2,-y+1/2,z+1/2'
loop_
_atom_site_label
_atom_site_fract_x
_atom_site_fract_y
_atom_site_fract_z
Al1 0.000 0.000 0.000
Zn1 0.000 0.000 0.322
Os1 0.000 0.000 0.654


(3)
# AlZnOs PBE optimized geometry
# crystal system = cubic
data_AlZnOs
_chemical_formula_sum 'Al4 Zn4 Os4'
_cell_length_a 5.798
_cell_length_b 5.798
_cell_length_c 5.798
_cell_angle_alpha 90.00
_cell_angle_beta 90.00
_cell_angle_gamma 90.00
_symmetry_space_group_name_H-M 'F -4 3 m'
_symmetry_Int_Tables_number 216
_symmetry_space_group_name_Hall 'F -4 2 3'
loop_
_atom_site_label
_atom_site_fract_x
_atom_site_fract_y
_atom_site_fract_z
Al1 0.000 0.000 0.000
Zn1 0.250 0.250 0.750
Os1 0.250 0.250 0.250


(4)
# Al4ZnOs PBE optimized geometry
# crystal system = orthorhombic
data_Al4ZnOs
_chemical_formula_sum 'Al32 Zn8 Os8'
_cell_length_a 6.393
_cell_length_b 8.879
_cell_length_c 13.780
_cell_angle_alpha 90.00
_cell_angle_beta 90.00
_cell_angle_gamma 90.00
_symmetry_space_group_name_H-M 'F d d d'
_symmetry_Int_Tables_number 70
loop_
_symmetry_equiv_pos_as_xyz
'x,y,z'
'-x,-y,-z'
'-x+1/4,-y+1/4,z'
'x+1/4,y+1/4,-z'
'x,-y+1/4,-z+1/4'
'-x,y+1/4,z+1/4'
'-x+1/4,y,-z+1/4'
'x+1/4,-y,z+1/4'
'x,y+1/2,z+1/2'
'-x,-y+1/2,-z+1/2'
'-x+1/4,-y+3/4,z+1/2'
'x+1/4,y+3/4,-z+1/2'
'x,-y+3/4,-z+3/4'
'-x,y+3/4,z+3/4'
'-x+1/4,y+1/2,-z+3/4'
'x+1/4,-y+1/2,z+3/4'
'x+1/2,y,z+1/2'
'-x+1/2,-y,-z+1/2'
'-x+3/4,-y+1/4,z+1/2'
'x+3/4,y+1/4,-z+1/2'
'x+1/2,-y+1/4,-z+3/4'
'-x+1/2,y+1/4,z+3/4'
'-x+3/4,y,-z+3/4'
'x+3/4,-y,z+3/4'
'x+1/2,y+1/2,z'
'-x+1/2,-y+1/2,-z'
'-x+3/4,-y+3/4,z'
'x+3/4,y+3/4,-z'
'x+1/2,-y+3/4,-z+1/4'
'-x+1/2,y+3/4,z+1/4'
'-x+3/4,y+1/2,-z+1/4'
'x+3/4,-y+1/2,z+1/4'
loop_
_atom_site_label
_atom_site_fract_x
_atom_site_fract_y
_atom_site_fract_z
Al1 0.123 0.368 0.226
Zn1 0.125 0.125 0.625
Os1 0.125 0.125 0.125


(5)
# AlZn3Os PBE optimized geometry
# crystal system = cubic
data_AlZn3Os
_chemical_formula_sum 'Al1 Zn3 Os1'
_cell_length_a 4.610
_cell_length_b 4.610
_cell_length_c 4.610
_cell_angle_alpha 90.00
_cell_angle_beta 90.00
_cell_angle_gamma 90.00
_symmetry_space_group_name_H-M 'P m -3 m'
_symmetry_Int_Tables_number 221
_symmetry_space_group_name_Hall '-P 4 2 3'
loop_
_atom_site_label
_atom_site_fract_x
_atom_site_fract_y
_atom_site_fract_z
Al1 0.000 0.000 0.000
Zn1 0.000 0.000 0.500
Os1 0.500 0.500 0.500


(6)
# AlZnOs PBE optimized geometry
# crystal system = trigonal
data_AlZnOs
_chemical_formula_sum 'Al1 Zn1 Os1'
_cell_length_a 4.2423
_cell_length_b 4.2423
_cell_length_c 2.7119
_cell_angle_alpha 90.00
_cell_angle_beta 90.00
_cell_angle_gamma 120.00
_symmetry_space_group_name_H-M 'P 3 m 1'
_symmetry_Int_Tables_number 156
loop_
_symmetry_equiv_pos_as_xyz
'x,y,z'
'-y,x-y,z'
'-x+y,-x,z'
'-y,-x,z'
'-x+y,y,z'
'x,x-y,z'
loop_
_atom_site_label
_atom_site_fract_x
_atom_site_fract_y
_atom_site_fract_z
Al1 0.0000 0.0000 0.0000
Zn1 0.3333 0.6667 0.8052
Os1 0.6667 0.3333 0.3706


Per-record calculated formation energy, meV per atom: -433, -48, 324, -143, 1396, -41